(1)
The following is a PBE-GGA calculation of a geometry-optimized RbGeB structure, from Alexandria.

V: 108.5 Å³/f.u.
Spin magnetization: 0.00 Bohr magnetons per cell
Total DFT energy (no corrections): -11.5 eV/f.u.
Energy of formation from the pure elements: 0.8 eV per formula unit

abc: 6.6598 4.8938 6.6599
angles: 90.00 91.82 90.00
With the nearest neighbours (Å) after each atom.
Space group Pm (No. 6)
Symmetry-distinct sites (fractional):
Rb1 0.0000 0.0000 0.0000 [1 per cell]  4 B 3.42, 4 Ge 3.58
Rb2 0.4992 0.0000 0.5007 [1 per cell]  4 B 3.42, 4 Ge 3.57
Ge1 0.3631 0.5000 0.8622 [1 per cell]  2 B 2.09
Ge2 0.6377 0.5000 0.1393 [1 per cell]  2 B 2.09
B1 0.5001 0.1620 0.0010 [2 per cell]  1 B 1.59

=====

(2)
The following is a PBE-GGA calculation of a geometry-optimized RbGe2BRu structure, from Alexandria.

V: 101.3 Å³/f.u.
Spin magnetization: 1.63 Bohr magnetons per cell
Total DFT energy (no corrections): -19.1 eV/f.u.
Energy of formation from the pure elements: 7.1 eV per formula unit

abc: 4.3713 4.3713 5.3013
angles: 90.00 90.00 90.00
With the nearest neighbours (Å) after each atom.
Space group P4/mmm (No. 123)
Symmetry-distinct sites (fractional):
Rb1 0.0000 0.0000 0.0000 [1 per cell]  2 B 2.65
Ge1 0.0000 0.5000 0.5000 [2 per cell]  2 B 2.19
B1 0.0000 0.0000 0.5000 [1 per cell]  4 Ge 2.19
Ru1 0.5000 0.5000 0.0000 [1 per cell]  4 Rb 3.09, 8 Ge 3.44

=====

(3)
The following is a PBE-GGA calculation of a geometry-optimized Re2GeB structure, from Alexandria.

V: 62.1 Å³/f.u.
Spin magnetization: 0.00 Bohr magnetons per cell
Energy relative to the lowest polymorph listed for this composition: 553 meV per atom
Total DFT energy (no corrections): -33.1 eV/f.u.
Energy of formation from the pure elements: 3.1 eV per formula unit

abc: 3.9554 3.9554 15.8737
angles: 90.00 90.00 90.00
With the nearest neighbours (Å) after each atom.
Space group I-42d (No. 122)
Symmetry-distinct sites (fractional):
Re1 0.1740 0.2500 0.1250 [8 per cell]  2 B 2.32, 2 Re 2.41, 2 Ge 2.56
Ge1 0.0000 0.0000 0.5000 [4 per cell]  4 Re 2.56, 4 B 2.80
B1 0.0000 0.0000 0.0000 [4 per cell]  4 Re 2.32

=====

(4)
The following is a PBE-GGA calculation of a geometry-optimized Re2GeB structure, from Alexandria.

V: 59.1 Å³/f.u.
Spin magnetization: 0.00 Bohr magnetons per cell
Energy relative to the lowest polymorph listed for this composition: 0 meV per atom
Total DFT energy (no corrections): -35.3 eV/f.u.
Energy of formation from the pure elements: 0.9 eV per formula unit

abc: 3.0678 3.0678 21.7490
angles: 90.00 90.00 120.00
With the nearest neighbours (Å) after each atom.
Space group R-3m (No. 166, hexagonal axes)
Symmetry-distinct sites (fractional):
Re1 0.0000 0.0000 0.1125 [6 per cell]  3 B 2.13
Ge1 0.0000 0.0000 0.0000 [3 per cell]  2 Re 2.45
B1 0.0000 0.0000 0.5000 [3 per cell]  6 Re 2.13

=====

(5)
The following is a PBE-GGA calculation of a geometry-optimized ReGeB3 structure, from Alexandria.

V: 62.0 Å³/f.u.
Spin magnetization: 0.00 Bohr magnetons per cell
Energy relative to the lowest polymorph listed for this composition: 1255 meV per atom
Total DFT energy (no corrections): -25.2 eV/f.u.
Energy of formation from the pure elements: 11.9 eV per formula unit

abc: 3.9569 3.9569 3.9569
angles: 90.00 90.00 90.00
With the nearest neighbours (Å) after each atom.
Space group Pm-3m (No. 221)
Symmetry-distinct sites (fractional):
Re1 0.0000 0.0000 0.0000 [1 per cell]  12 B 2.80
Ge1 0.5000 0.5000 0.5000 [1 per cell]  6 B 1.98
B1 0.0000 0.5000 0.5000 [3 per cell]  2 Ge 1.98

=====

(6)
The following is a PBE-GGA calculation of a geometry-optimized Re2Ge2B structure, from Alexandria.

V: 72.3 Å³/f.u.
Spin magnetization: 0.00 Bohr magnetons per cell
Energy relative to the lowest polymorph listed for this composition: 530 meV per atom
Total DFT energy (no corrections): -36.4 eV/f.u.
Energy of formation from the pure elements: 4.5 eV per formula unit

abc: 3.3390 3.3390 12.9644
angles: 90.00 90.00 90.00
With the nearest neighbours (Å) after each atom.
Space group I4/mmm (No. 139)
Symmetry-distinct sites (fractional):
Re1 0.0000 0.0000 0.0984 [4 per cell]  1 Re 2.55, 4 Ge 2.58, 4 B 2.68
Ge1 0.0000 0.5000 0.2500 [4 per cell]  4 Ge 2.36, 4 Re 2.58
B1 0.0000 0.0000 0.5000 [2 per cell]  8 Re 2.68

=====

(7)
The following is a PBE-GGA calculation of a geometry-optimized ReGeB3 structure, from Alexandria.

V: 72.1 Å³/f.u.
Spin magnetization: 0.00 Bohr magnetons per cell
Energy relative to the lowest polymorph listed for this composition: 0 meV per atom
Total DFT energy (no corrections): -31.5 eV/f.u.
Energy of formation from the pure elements: 5.6 eV per formula unit

abc: 4.1613 4.1613 4.1613
angles: 90.00 90.00 90.00
With the nearest neighbours (Å) after each atom.
Space group Pm-3m (No. 221)
Symmetry-distinct sites (fractional):
Re1 0.0000 0.0000 0.0000 [1 per cell]  6 B 2.08
Ge1 0.5000 0.5000 0.5000 [1 per cell]  12 B 2.94
B1 0.0000 0.0000 0.5000 [3 per cell]  2 Re 2.08

=====

(8)
The following is a PBE-GGA calculation of a geometry-optimized Re2GeB structure, from Alexandria.

V: 50.8 Å³/f.u.
Spin magnetization: 0.00 Bohr magnetons per cell
Energy relative to the lowest polymorph listed for this composition: 324 meV per atom
Total DFT energy (no corrections): -34.0 eV/f.u.
Energy of formation from the pure elements: 2.2 eV per formula unit

abc: 5.8781 5.8781 5.8781
angles: 90.00 90.00 90.00
With the nearest neighbours (Å) after each atom.
Space group Fm-3m (No. 225)
Symmetry-distinct sites (fractional):
Re1 0.2500 0.2500 0.2500 [8 per cell]  4 Ge 2.55, 4 B 2.55
Ge1 0.0000 0.0000 0.0000 [4 per cell]  8 Re 2.55
B1 0.0000 0.0000 0.5000 [4 per cell]  8 Re 2.55

=====

(9)
The following is a PBE-GGA calculation of a geometry-optimized ReGeB2 structure, from Alexandria.

V: 57.0 Å³/f.u.
Spin magnetization: 0.00 Bohr magnetons per cell
Total DFT energy (no corrections): -27.5 eV/f.u.
Energy of formation from the pure elements: 3.0 eV per formula unit

abc: 4.9241 4.9241 9.3970
angles: 90.00 90.00 90.00
With the nearest neighbours (Å) after each atom.
Space group I-42d (No. 122)
Symmetry-distinct sites (fractional):
Re1 0.0000 0.0000 0.0000 [4 per cell]  4 B 2.06
Ge1 0.0000 0.0000 0.5000 [4 per cell]  4 B 2.14
B1 0.2350 0.2500 0.1250 [8 per cell]  2 Re 2.06, 2 Ge 2.14

=====

(10)
The following is a PBE-GGA calculation of a geometry-optimized Re2Ge2B structure, from Alexandria.

V: 71.2 Å³/f.u.
Spin magnetization: 0.00 Bohr magnetons per cell
Energy relative to the lowest polymorph listed for this composition: 0 meV per atom
Total DFT energy (no corrections): -39.0 eV/f.u.
Energy of formation from the pure elements: 1.8 eV per formula unit

abc: 5.9517 5.9517 4.0198
angles: 90.00 90.00 90.00
With the nearest neighbours (Å) after each atom.
Space group P4/mbm (No. 127)
Symmetry-distinct sites (fractional):
Re1 0.1649 0.3351 0.0000 [4 per cell]  2 B 2.22
Ge1 0.1552 0.6552 0.5000 [4 per cell]  6 Re 2.52-2.77, 1 Ge 2.61
B1 0.0000 0.0000 0.0000 [2 per cell]  4 Re 2.22

=====

(11)
The following is a PBE-GGA calculation of a geometry-optimized ReGe2BSe structure, from Alexandria.

V: 81.3 Å³/f.u.
Spin magnetization: 2.15 Bohr magnetons per cell
Energy relative to the lowest polymorph listed for this composition: 0 meV per atom
E_form (uncorrected): 1280 meV per atom
Total DFT energy (no corrections): -25.4 eV/f.u.

abc: 4.1808 4.1808 4.6486
angles: 90.00 90.00 90.00
With the nearest neighbours (Å) after each atom.
Space group P4/mmm (No. 123)
Symmetry-distinct sites (fractional):
Re1 0.0000 0.0000 0.0000 [1 per cell]  4 Se 2.96, 8 Ge 3.13
Ge1 0.0000 0.5000 0.5000 [2 per cell]  2 B 2.09
B1 0.5000 0.5000 0.5000 [1 per cell]  4 Ge 2.09, 2 Se 2.32
Se1 0.5000 0.5000 0.0000 [1 per cell]  2 B 2.32

=====

(12)
The following is a PBE-GGA calculation of a geometry-optimized ReGe2BSe structure, from Alexandria.

V: 121.8 Å³/f.u.
Spin magnetization: 1.04 Bohr magnetons per cell
Energy relative to the lowest polymorph listed for this composition: 849 meV per atom
E_form (uncorrected): 2129 meV per atom
Total DFT energy (no corrections): -21.2 eV/f.u.

abc: 5.1665 5.1665 4.5631
angles: 90.00 90.00 90.00
With the nearest neighbours (Å) after each atom.
Space group P4/mmm (No. 123)
Symmetry-distinct sites (fractional):
Re1 0.0000 0.0000 0.0000 [1 per cell]  2 Se 2.28
Ge1 0.0000 0.5000 0.5000 [2 per cell]  2 Se 2.58
B1 0.5000 0.5000 0.0000 [1 per cell]  8 Ge 3.45, 4 Re 3.65
Se1 0.0000 0.0000 0.5000 [1 per cell]  2 Re 2.28

=====

(13)
The following is a PBE-GGA calculation of a geometry-optimized SrRe2GeB structure, from Alexandria.

V: 90.9 Å³/f.u.
Spin magnetization: 0.00 Bohr magnetons per cell
Total DFT energy (no corrections): -34.5 eV/f.u.
Energy of formation from the pure elements: 3.4 eV per formula unit

abc: 4.2069 4.2069 5.1351
angles: 90.00 90.00 90.00
With the nearest neighbours (Å) after each atom.
Space group P4/mmm (No. 123)
Symmetry-distinct sites (fractional):
Sr1 0.0000 0.0000 0.0000 [1 per cell]  2 B 2.57
Re1 0.0000 0.5000 0.5000 [2 per cell]  2 B 2.10
Ge1 0.5000 0.5000 0.0000 [1 per cell]  4 Sr 2.97, 8 Re 3.32
B1 0.0000 0.0000 0.5000 [1 per cell]  4 Re 2.10

=====

(14)
The following is a PBE-GGA calculation of a geometry-optimized ZnRe2GeB structure, from Alexandria.

V: 76.9 Å³/f.u.
Spin magnetization: 0.00 Bohr magnetons per cell
Total DFT energy (no corrections): -28.6 eV/f.u.
Energy of formation from the pure elements: 8.9 eV per formula unit

abc: 4.6618 4.6618 3.5375
angles: 90.00 90.00 90.00
With the nearest neighbours (Å) after each atom.
Space group P4/mmm (No. 123)
Symmetry-distinct sites (fractional):
Zn1 0.0000 0.0000 0.0000 [1 per cell]  2 B 1.77
Re1 0.0000 0.5000 0.0000 [2 per cell]  2 Zn 2.33
Ge1 0.5000 0.5000 0.5000 [1 per cell]  8 Re 2.93
B1 0.0000 0.0000 0.5000 [1 per cell]  2 Zn 1.77

=====

(15)
The following is a PBE-GGA calculation of a geometry-optimized Zr2ReGeB structure, from Alexandria.

V: 110.0 Å³/f.u.
Spin magnetization: 0.00 Bohr magnetons per cell
Total DFT energy (no corrections): -33.6 eV/f.u.
Energy of formation from the pure elements: 7.3 eV per formula unit

abc: 4.9574 4.9574 4.4771
angles: 90.00 90.00 90.00
With the nearest neighbours (Å) after each atom.
Space group P4/mmm (No. 123)
Symmetry-distinct sites (fractional):
Zr1 0.0000 0.5000 0.0000 [2 per cell]  2 Ge 2.48
Re1 0.0000 0.0000 0.5000 [1 per cell]  2 Ge 2.24
Ge1 0.0000 0.0000 0.0000 [1 per cell]  2 Re 2.24, 4 Zr 2.48
B1 0.5000 0.5000 0.5000 [1 per cell]  8 Zr 3.34, 4 Re 3.51

=====

(16)
The following is a PBE-GGA calculation of a geometry-optimized ZrRe2GeB structure, from Alexandria.

V: 84.6 Å³/f.u.
Spin magnetization: 0.00 Bohr magnetons per cell
Total DFT energy (no corrections): -38.2 eV/f.u.
Energy of formation from the pure elements: 6.6 eV per formula unit

abc: 4.7544 4.7544 3.7410
angles: 90.00 90.00 90.00
With the nearest neighbours (Å) after each atom.
Space group P4/mmm (No. 123)
Symmetry-distinct sites (fractional):
Zr1 0.0000 0.0000 0.0000 [1 per cell]  8 Re 3.02, 4 B 3.36
Re1 0.0000 0.5000 0.5000 [2 per cell]  2 Ge 2.38
Ge1 0.5000 0.5000 0.5000 [1 per cell]  2 B 1.87
B1 0.5000 0.5000 0.0000 [1 per cell]  2 Ge 1.87

=====

(17)
The following is a PBE-GGA calculation of a geometry-optimized Ge2BRh4 structure, from Alexandria.

V: 102.6 Å³/f.u.
Spin magnetization: 0.00 Bohr magnetons per cell
Total DFT energy (no corrections): -46.6 eV/f.u.
Energy of formation from the pure elements: -1.3 eV per formula unit

abc: 4.0319 4.0319 12.6216
angles: 90.00 90.00 90.00
With the nearest neighbours (Å) after each atom.
Space group I4/mmm (No. 139)
Symmetry-distinct sites (fractional):
Ge1 0.0000 0.0000 0.1370 [4 per cell]  5 Rh 2.39-2.66
B1 0.0000 0.0000 0.5000 [2 per cell]  6 Rh 2.02-2.19
Rh1 0.0000 0.0000 0.3265 [4 per cell]  1 B 2.19, 1 Ge 2.39
Rh2 0.0000 0.5000 0.0000 [4 per cell]  2 B 2.02

=====

(18)
The following is a PBE-GGA calculation of a geometry-optimized GeBRh3 structure, from Alexandria.

V: 90.7 Å³/f.u.
Spin magnetization: 0.00 Bohr magnetons per cell
Energy relative to the lowest polymorph listed for this composition: 1795 meV per atom
Total DFT energy (no corrections): -26.2 eV/f.u.
Energy of formation from the pure elements: 7.1 eV per formula unit

abc: 4.4922 4.4922 4.4922
angles: 90.00 90.00 90.00
With the nearest neighbours (Å) after each atom.
Space group Pm-3m (No. 221)
Symmetry-distinct sites (fractional):
Ge1 0.0000 0.0000 0.0000 [1 per cell]  6 Rh 2.25
B1 0.5000 0.5000 0.5000 [1 per cell]  12 Rh 3.18
Rh1 0.0000 0.0000 0.5000 [3 per cell]  2 Ge 2.25

=====

(19)
The following is a PBE-GGA calculation of a geometry-optimized GeBRh3 structure, from Alexandria.

V: 69.0 Å³/f.u.
Spin magnetization: 0.00 Bohr magnetons per cell
Energy relative to the lowest polymorph listed for this composition: 0 meV per atom
Total DFT energy (no corrections): -35.2 eV/f.u.
Energy of formation from the pure elements: -1.8 eV per formula unit

abc: 5.4605 5.4605 16.0357
angles: 90.00 90.00 120.00
With the nearest neighbours (Å) after each atom.
Space group R32 (No. 155, hexagonal axes)
Symmetry-distinct sites (fractional):
Ge1 0.0000 0.0000 0.1117 [6 per cell]  6 Rh 2.54-2.66
B1 0.0000 0.0000 0.3324 [6 per cell]  6 Rh 2.14
Rh1 0.0032 0.4618 0.0890 [18 per cell]  2 B 2.14

=====

(20)
The following is a PBE-GGA calculation of a geometry-optimized Ge2BRh8 structure, from Alexandria.

V: 152.0 Å³/f.u.
Spin magnetization: 0.00 Bohr magnetons per cell
Total DFT energy (no corrections): -77.2 eV/f.u.
Energy of formation from the pure elements: -2.5 eV per formula unit

abc: 14.5758 3.8846 5.4069
angles: 90.00 96.74 90.00
With the nearest neighbours (Å) after each atom.
Space group C2/m (No. 12)
Symmetry-distinct sites (fractional):
Ge1 0.1846 0.0000 0.2587 [4 per cell]  8 Rh 2.47-2.71
B1 0.0000 0.5000 0.5000 [2 per cell]  2 Rh 1.99
Rh1 0.0124 0.0000 0.2615 [4 per cell]  2 B 2.35, 1 Ge 2.51
Rh2 0.0922 0.5000 0.9817 [4 per cell]  2 Ge 2.71, 10 Rh 2.71-2.92, 1 B 2.79
Rh3 0.1363 0.5000 0.5026 [4 per cell]  1 B 1.99
Rh4 0.2128 0.0000 0.8168 [4 per cell]  3 Ge 2.47-2.51, 2 Rh 2.73